# 1
# PBE Be2InPbBr, relaxed
data_Be2InPbBr
_chemical_formula_sum 'Be2 In1 Pb1 Br1'
_space_group_name_H-M_alt 'P 1'
_space_group_IT_number 1
_cell_length_a 4.629
_cell_length_b 4.629
_cell_length_c 6.250
_cell_angle_alpha 90.00
_cell_angle_beta 90.00
_cell_angle_gamma 90.00
loop_
_space_group_symop_operation_xyz
'x,y,z'
loop_
_atom_site_label
_atom_site_fract_x
_atom_site_fract_y
_atom_site_fract_z
Be1 0.000 0.500 0.000
Be2 0.500 0.000 0.000
In1 0.000 0.000 0.000
Pb1 0.500 0.500 0.500
Br1 0.000 0.000 0.500
# formation energy from raw total energies	0.665	eV/atom
# mass density	5208	kg/m³
# space group	P4/mmm (123)

=====

# 2
# PBE ReSi2Ru, relaxed
data_ReSi2Ru
_chemical_formula_sum 'Re1 Si2 Ru1'
_space_group_name_H-M_alt 'P 1'
_space_group_IT_number 1
_cell_length_a 3.113
_cell_length_b 3.113
_cell_length_c 5.594
_cell_angle_alpha 90.00
_cell_angle_beta 90.00
_cell_angle_gamma 90.00
loop_
_space_group_symop_operation_xyz
'x,y,z'
loop_
_atom_site_label
_atom_site_fract_x
_atom_site_fract_y
_atom_site_fract_z
Re1 0.000 0.000 0.000
Si1 0.000 0.000 0.553
Si2 0.500 0.500 0.807
Ru1 0.500 0.500 0.356
# formation energy from raw total energies	-0.323	eV/atom
# mass density	10522	kg/m³
# space group	P4mm (99)

=====

# 3
# PBE MgAs2Br8, relaxed
data_MgAs2Br8
_chemical_formula_sum 'Mg1 As2 Br8'
_space_group_name_H-M_alt 'P 1'
_space_group_IT_number 1
_cell_length_a 7.919
_cell_length_b 7.919
_cell_length_c 7.285
_cell_angle_alpha 97.05
_cell_angle_beta 97.05
_cell_angle_gamma 96.90
loop_
_space_group_symop_operation_xyz
'x,y,z'
loop_
_atom_site_label
_atom_site_fract_x
_atom_site_fract_y
_atom_site_fract_z
Mg1 0.000 0.000 0.000
As1 0.177 0.177 0.600
As2 0.823 0.823 0.400
Br1 0.057 0.738 0.212
Br2 0.223 0.223 0.234
Br3 0.262 0.943 0.788
Br4 0.398 0.398 0.726
Br5 0.602 0.602 0.274
Br6 0.738 0.057 0.212
Br7 0.777 0.777 0.766
Br8 0.943 0.262 0.788
# formation energy from raw total energies	-0.633	eV/atom
# mass density	3030	kg/m³
# space group	C2/m (12)

=====

# 4
# PBE BaSrCd2, relaxed
data_BaSrCd2
_chemical_formula_sum 'Ba1 Sr1 Cd2'
_space_group_name_H-M_alt 'P 1'
_space_group_IT_number 1
_cell_length_a 8.890
_cell_length_b 8.890
_cell_length_c 8.890
_cell_angle_alpha 31.60
_cell_angle_beta 31.60
_cell_angle_gamma 31.60
loop_
_space_group_symop_operation_xyz
'x,y,z'
loop_
_atom_site_label
_atom_site_fract_x
_atom_site_fract_y
_atom_site_fract_z
Ba1 0.000 0.000 0.000
Sr1 0.500 0.500 0.500
Cd1 0.244 0.244 0.244
Cd2 0.756 0.756 0.756
# mass density	4360	kg/m³
# formation energy	-0.149	eV per atom
# space group	R-3m (166)